A plane-wave DFT calculation with PBE was carried out for crystalline LaNi2BRh at its relaxed geometry.

Cell and atoms, written as POSCAR:
```
LaNi2BRh
1.0
4.140 0.000 0.000
0.000 4.140 0.000
0.000 0.000 4.268
La Ni B Rh
1 2 1 1
Direct
0.000 0.000 0.000
0.000 0.500 0.500
0.500 0.000 0.500
0.500 0.500 0.500
0.500 0.500 0.000
```

Computed properties:
The space-group type is P4/mmm. The crystal system is tetragonal. The density of states at the Fermi level comes out at 0.766 states/eV per atom. The calculation puts the mass density at 8.4 g/cm3. The energy is -6.518 eV/atom. The calculation puts the spin magnetization at 0.00 μB per atom.